No. 1
Computed, not measured: an optimized crystal structure of CdInTc at the GGA-PBE level of DFT.

Values from the calculation:
Relative energy among the computed polymorphs = 50.7 meV/atom
Space-group type = No. 42

a b c (Å): 7.598 7.374 2.978
angles (deg): 82.79 74.33 22.88
Sites, in units of the cell vectors:
1 Cd 0.000 0.000 0.000
2 In 0.687 0.687 0.313
3 Tc 0.342 0.342 0.658

---

No. 2
Computed, not measured: an optimized crystal structure of TbSm12Er5 at the GGA-PBE level of DFT.

Values from the calculation:
Space-group type = No. 65

a b c (Å): 10.765 10.765 5.082
angles (deg): 90.00 90.00 90.15
Sites, in units of the cell vectors:
1 Tb 0.000 0.000 0.000
2 Sm 0.001 0.668 0.000
3 Sm 0.166 0.166 0.500
4 Sm 0.168 0.501 0.500
5 Sm 0.332 0.999 0.000
6 Sm 0.335 0.335 0.000
7 Sm 0.499 0.832 0.500
8 Sm 0.501 0.168 0.500
9 Sm 0.665 0.665 0.000
10 Sm 0.668 0.001 0.000
11 Sm 0.832 0.499 0.500
12 Sm 0.834 0.834 0.500
13 Sm 0.999 0.332 0.000
14 Er 0.167 0.833 0.500
15 Er 0.333 0.667 0.000
16 Er 0.500 0.500 0.500
17 Er 0.667 0.333 0.000
18 Er 0.833 0.167 0.500

---

Number 1: E_form 0.486 eV/atom, M_tot 0.39 μB/atom. Number 2: E_form 0.019 eV/atom, M_tot 0.00 μB/atom.